(1)
DFT (PBE) results for a geometry-optimized ZrCr2 structure.

Lattice parameters (Å, degrees): 5.9960 5.9960 5.9960 90.00 90.00 90.00
Fractional coordinates of all 12 atoms:
Cr (0.9002, 0.4002, 0.0998)
Cr (0.5998, 0.9002, 0.0998)
Cr (0.5998, 0.5998, 0.5998)
Cr (0.4002, 0.4002, 0.4002)
Cr (0.0998, 0.9002, 0.4002)
Cr (0.0998, 0.5998, 0.9002)
Cr (0.9002, 0.0998, 0.5998)
Cr (0.4002, 0.0998, 0.9002)
Zr (0.5000, 0.5000, 0.0000)
Zr (0.5000, 0.0000, 0.5000)
Zr (0.0000, 0.0000, 0.0000)
Zr (0.0000, 0.5000, 0.5000)

Computed properties:
The space-group type is Pa-3, No. 205. For the volume, the calculation gives 216 Å³ per cell. Its calculated total energy is -7.694 eV/atom.

(2)
DFT (PBE) results for a geometry-optimized Zr2Cr structure.

Lattice parameters (Å, degrees): 13.7612 13.7612 13.7612 162.17 162.17 25.32
Last column: magnetic moment on the atom in μB.
Fractional coordinates of all 12 atoms:
Zr (0.5866, 0.5866, 0.0000)  -0.26
Zr (0.2508, 0.2508, 0.0000)  -0.15
Zr (0.5008, 0.0008, 0.5000)  -0.15
Zr (0.8366, 0.3366, 0.5000)  -0.26
Zr (0.4134, 0.4134, 0.0000)  -0.26
Zr (0.6634, 0.1634, 0.5000)  -0.26
Zr (0.9992, 0.4992, 0.5000)  -0.15
Zr (0.7492, 0.7492, 0.0000)  -0.15
Cr (0.3336, 0.8336, 0.5000)  3.02
Cr (0.1664, 0.6664, 0.5000)  3.02
Cr (0.9164, 0.9164, 0.0000)  3.02
Cr (0.0836, 0.0836, 0.0000)  3.02

Computed properties:
The space-group type is I4_1/amd, No. 141. For the volume, the calculation gives 244 Å³ per cell. Its calculated total energy is -8.619 eV/atom.